# 1
{
  "formula": "PdRh",
  "functional": "SCAN",
  "state": "PBEsol geometry",
  "cell": [[2.7095, 0.0000, 0.0000], [1.3548, 2.3465, 0.0000], [1.3548, 0.7822, 4.3863]],
  "species": ["Rh", "Pd"],
  "frac_coords": [[0.5000, 0.5000, 0.5000], [0.0000, 0.0000, 0.0000]],
  "formation_enthalpy_0k_ev_per_atom": 0.099,
  "volume_a3_per_cell": 27.89
}

***

# 2
{
  "formula": "Pd2Rh15S15",
  "functional": "SCAN",
  "state": "PBEsol geometry",
  "cell": [[-9.6687, -1.8529, -0.8898], [1.0820, -0.9497, -9.7794], [1.7476, -9.6630, 1.1318]],
  "species": ["Rh", "Rh", "Rh", "Rh", "Rh", "Rh", "Rh", "Rh", "Rh", "Rh", "Rh", "Rh", "Rh", "Rh", "Rh", "Rh", "Rh", "Rh", "Rh", "Rh", "Rh", "Rh", "Rh", "Rh", "Rh", "Rh", "Rh", "Rh", "Rh", "Rh", "S", "S", "S", "S", "S", "S", "S", "S", "S", "S", "S", "S", "S", "S", "S", "S", "S", "S", "S", "S", "S", "S", "S", "S", "S", "S", "S", "S", "S", "S", "Pd", "Pd", "Pd", "Pd"],
  "frac_coords": [[0.2366, 0.0000, 0.0000], [0.1421, 0.6425, 0.6425], [0.3575, 0.1421, 0.3575], [0.1421, 0.3575, 0.3575], [0.6425, 0.8579, 0.6425], [0.0000, 0.2366, 0.0000], [0.8579, 0.3575, 0.3575], [0.6425, 0.8579, 0.3575], [0.8579, 0.3575, 0.6425], [0.6425, 0.1421, 0.6425], [0.0000, 0.0000, 0.7634], [0.1421, 0.6425, 0.3575], [0.3575, 0.8579, 0.6425], [0.6425, 0.6425, 0.8579], [0.8579, 0.6425, 0.6425], [0.8579, 0.6425, 0.3575], [0.6425, 0.3575, 0.1421], [0.3575, 0.3575, 0.8579], [0.6425, 0.6425, 0.1421], [0.7634, 0.0000, 0.0000], [0.3575, 0.6425, 0.1421], [0.0000, 0.7634, 0.0000], [0.3575, 0.1421, 0.6425], [0.1421, 0.3575, 0.6425], [0.3575, 0.3575, 0.1421], [0.6425, 0.1421, 0.3575], [0.3575, 0.6425, 0.8579], [0.0000, 0.0000, 0.2366], [0.3575, 0.8579, 0.3575], [0.6425, 0.3575, 0.8579], [0.1724, 0.5000, 0.1724], [0.5000, 0.8276, 0.8276], [0.7710, 0.7710, 0.0000], [0.1724, 0.8276, 0.5000], [0.7710, 0.2290, 0.0000], [0.7403, 0.5000, 0.5000], [0.2290, 0.2290, 0.0000], [0.8276, 0.5000, 0.1724], [0.2290, 0.7710, 0.0000], [0.8276, 0.8276, 0.5000], [0.7710, 0.0000, 0.2290], [0.8276, 0.5000, 0.8276], [0.0000, 0.2290, 0.7710], [0.1724, 0.5000, 0.8276], [0.5000, 0.8276, 0.1724], [0.8276, 0.1724, 0.5000], [0.1724, 0.1724, 0.5000], [0.2290, 0.0000, 0.2290], [0.0000, 0.7710, 0.7710], [0.0000, 0.7710, 0.2290], [0.5000, 0.1724, 0.8276], [0.5000, 0.5000, 0.2597], [0.5000, 0.2597, 0.5000], [0.7710, 0.0000, 0.7710], [0.5000, 0.5000, 0.7403], [0.5000, 0.1724, 0.1724], [0.2597, 0.5000, 0.5000], [0.5000, 0.7403, 0.5000], [0.2290, 0.0000, 0.7710], [0.0000, 0.2290, 0.2290], [0.0000, 0.5000, 0.0000], [0.5000, 0.5000, 0.5000], [0.5000, 0.0000, 0.0000], [0.0000, 0.0000, 0.5000]],
  "e_tot_ev_per_fu": -732.4,
  "volume_a3_per_cell": 965.83
}

***

# 3
{
  "formula": "SiPdRhS2",
  "functional": "SCAN",
  "state": "PBEsol geometry",
  "cell": [[-2.8713, -3.3986, 0.3648], [3.4252, -2.7476, 1.3619], [-0.8123, 1.1559, 4.3749]],
  "species": ["Si", "S", "S", "Rh", "Pd"],
  "frac_coords": [[0.5000, 0.0000, 0.0000], [0.0000, 0.5000, 0.0000], [0.0000, 0.0000, 0.5000], [0.5000, 0.5000, 0.5000], [0.0000, 0.0000, 0.0000]],
  "e_tot_ev_per_fu": -91.1,
  "volume_a3_per_cell": 94.35
}

***

# 4
{
  "formula": "Sb2PdRh",
  "functional": "SCAN",
  "state": "PBEsol geometry",
  "cell": [[-0.4537, -1.1637, 6.2103], [0.0433, -5.1009, -4.1834], [5.1755, -3.6401, -0.3040]],
  "species": ["Sb", "Sb", "Sb", "Sb", "Pd", "Pd", "Rh", "Rh"],
  "frac_coords": [[0.1330, 0.7500, 0.8750], [0.3750, 0.2500, 0.1330], [0.6170, 0.7500, 0.3750], [0.8750, 0.2500, 0.6170], [0.7500, 0.5000, 0.7500], [0.0000, 0.0000, 0.0000], [0.2500, 0.5000, 0.2500], [0.5000, 0.0000, 0.5000]],
  "e_tot_ev_per_fu": -141.6,
  "volume_a3_per_cell": 194.36
}

***

Question: Number 1 is which compound?
Answer: PdRh

***

Question: What is the formula in the fourth record?
Answer: Sb2PdRh

***

Copy entry 3 word for word.
{
  "formula": "SiPdRhS2",
  "functional": "SCAN",
  "state": "PBEsol geometry",
  "cell": [[-2.8713, -3.3986, 0.3648], [3.4252, -2.7476, 1.3619], [-0.8123, 1.1559, 4.3749]],
  "species": ["Si", "S", "S", "Rh", "Pd"],
  "frac_coords": [[0.5000, 0.0000, 0.0000], [0.0000, 0.5000, 0.0000], [0.0000, 0.0000, 0.5000], [0.5000, 0.5000, 0.5000], [0.0000, 0.0000, 0.0000]],
  "e_tot_ev_per_fu": -91.1,
  "volume_a3_per_cell": 94.35
}

***

Please write out number 4 again, unchanged.
{
  "formula": "Sb2PdRh",
  "functional": "SCAN",
  "state": "PBEsol geometry",
  "cell": [[-0.4537, -1.1637, 6.2103], [0.0433, -5.1009, -4.1834], [5.1755, -3.6401, -0.3040]],
  "species": ["Sb", "Sb", "Sb", "Sb", "Pd", "Pd", "Rh", "Rh"],
  "frac_coords": [[0.1330, 0.7500, 0.8750], [0.3750, 0.2500, 0.1330], [0.6170, 0.7500, 0.3750], [0.8750, 0.2500, 0.6170], [0.7500, 0.5000, 0.7500], [0.0000, 0.0000, 0.0000], [0.2500, 0.5000, 0.2500], [0.5000, 0.0000, 0.5000]],
  "e_tot_ev_per_fu": -141.6,
  "volume_a3_per_cell": 194.36
}